LiZn5: PBEsol geometry, SCAN.

The formation energy is -82 kJ/mol of formula units. For the energy above the lowest structure with this stoichiometry, the calculation gives 0.000 eV/atom. The value obtained for the volume is 13.7 A^3/atom. The total magnetic moment is 0.00 μB/f.u. The value obtained for the total energy is -0.867 Ry/atom.

The space group is P-62m (No. 189) and the conventional cell measures 4.7041, 4.7041 and 4.2791 Å, with angles of 90.00, 90.00 and 120.00 degrees. The distinct sites, in fractional coordinates, are Li at (0.0000, 0.0000, 0.0000), Zn at (0.0000, 0.6660, 0.5000) and Zn at (0.3333, 0.6667, 0.0000).



CaMnRe2Tc: PBEsol geometry, SCAN.

The formation energy is 1454 kJ/mol of formula units. The value obtained for the volume is 17.0 A^3/atom. The total magnetic moment is 0.95 μB/f.u. The value obtained for the total energy is -2.794 Ry/atom.

The space group is P4/mmm (No. 123) and the conventional cell measures 4.514, 4.514 and 4.160 Å, with angles of 90.00, 90.00 and 90.00 degrees. The distinct sites, in fractional coordinates, are Ca at (0.000, 0.000, 0.000), Mn at (0.000, 0.000, 0.500), Re at (0.000, 0.500, 0.000) and Tc at (0.500, 0.500, 0.500).